Record 1
# PBE PaNi2Ge, relaxed
data_PaNi2Ge
_cell_length_a 4.0352
_cell_length_b 4.0352
_cell_length_c 13.7878
_cell_angle_alpha 90.00
_cell_angle_beta 90.00
_cell_angle_gamma 120.00
_space_group_name_H-M_alt 'R -3 m'
_space_group_IT_number 166
_space_group_name_Hall '-R 3 2"'
loop_
_atom_site_label
_atom_site_fract_x
_atom_site_fract_y
_atom_site_fract_z
_atom_site_occupancy
Pa1 0.0000 0.0000 0.0000 1
Ni1 0.0000 0.0000 0.2171 1
Ge1 0.0000 0.0000 0.5000 1
# relative energy among the computed polymorphs: 0.0 kJ/mol of atoms
# calculated formation energy: -0.502 eV/atom

***

Record 2
# PBE FeAuN2Cl, relaxed
data_FeAuN2Cl
_cell_length_a 3.570
_cell_length_b 3.570
_cell_length_c 5.757
_cell_angle_alpha 90.00
_cell_angle_beta 90.00
_cell_angle_gamma 90.00
_space_group_name_H-M_alt 'P 4/m m m'
_space_group_IT_number 123
_space_group_name_Hall '-P 4 2'
loop_
_atom_site_label
_atom_site_fract_x
_atom_site_fract_y
_atom_site_fract_z
_atom_site_occupancy
Fe1 0.000 0.000 0.000 1
Au1 0.000 0.000 0.500 1
N1 0.000 0.500 0.000 1
Cl1 0.500 0.500 0.500 1
# energy relative to the elements, uncorrected: 821.0 meV/atom

***

Record 3
# PBE TmAg2SO6, relaxed
data_TmAg2SO6
_cell_length_a 5.8274
_cell_length_b 5.8274
_cell_length_c 5.5612
_cell_angle_alpha 90.00
_cell_angle_beta 90.00
_cell_angle_gamma 120.00
_space_group_name_H-M_alt 'P -3 m 1'
_space_group_IT_number 164
_space_group_name_Hall '-P 3 2"'
loop_
_atom_site_label
_atom_site_fract_x
_atom_site_fract_y
_atom_site_fract_z
_atom_site_occupancy
Tm1 0.0000 0.0000 0.0000 1
Ag1 0.3333 0.6667 0.5143 1
S1 0.0000 0.0000 0.5000 1
O1 0.1352 0.2704 0.3180 1
# energy relative to the elements, uncorrected: -1000.2 meV/atom

***

Record 4
# PBE PIr2, relaxed
data_PIr2
_cell_length_a 4.3448
_cell_length_b 4.3448
_cell_length_c 2.7845
_cell_angle_alpha 90.00
_cell_angle_beta 90.00
_cell_angle_gamma 120.00
_space_group_name_H-M_alt 'P 6/m m m'
_space_group_IT_number 191
_space_group_name_Hall '-P 6 2'
loop_
_atom_site_label
_atom_site_fract_x
_atom_site_fract_y
_atom_site_fract_z
_atom_site_occupancy
P1 0.0000 0.0000 0.0000 1
Ir1 0.3333 0.6667 0.5000 1
# calculated formation energy: 0.664 eV/atom

***

Record 5
# PBE HoCu2S3, relaxed
data_HoCu2S3
_cell_length_a 8.025
_cell_length_b 11.736
_cell_length_c 4.743
_cell_angle_alpha 90.00
_cell_angle_beta 90.00
_cell_angle_gamma 90.00
_space_group_name_H-M_alt 'C m c m'
_space_group_IT_number 63
_space_group_name_Hall '-C 2c 2'
loop_
_atom_site_label
_atom_site_fract_x
_atom_site_fract_y
_atom_site_fract_z
_atom_site_occupancy
Ho1 0.000 0.239 0.250 1
Cu1 0.198 0.500 0.000 1
S1 0.000 0.385 0.750 1
S2 0.195 0.150 0.750 1
# energy relative to the elements, uncorrected: -777.6 meV/atom

***

Record 6
# PBE Ba2CaHOs, relaxed
data_Ba2CaHOs
_cell_length_a 6.259
_cell_length_b 6.259
_cell_length_c 3.785
_cell_angle_alpha 90.00
_cell_angle_beta 90.00
_cell_angle_gamma 90.00
_space_group_name_H-M_alt 'P 4/m m m'
_space_group_IT_number 123
_space_group_name_Hall '-P 4 2'
loop_
_atom_site_label
_atom_site_fract_x
_atom_site_fract_y
_atom_site_fract_z
_atom_site_occupancy
Ba1 0.000 0.500 0.000 1
Ca1 0.000 0.000 0.000 1
H1 0.000 0.000 0.500 1
Os1 0.500 0.500 0.500 1
# final energy: -14.610 eV for the cell shown